This record from Alexandria describes a relaxed structure of CoTeRh. The functional is GGA-PBE.

DOS(E_F) ... 0.922 states/eV/atom
Formation energy from raw total energies ... 0.174 eV/atom
DFT total energy ... -5.69 eV/atom

a b c (Å): 4.0925 4.0925 3.3328
angles (deg): 90.00 90.00 120.00
Closest atoms and distances in Å follow each position.
Space group P3m1 (No. 156)
Asymmetric unit:
1 Co 0.0000 0.0000 0.0000 (multiplicity 1)  3 Te 2.42
2 Te 0.6667 0.3333 0.8436 (multiplicity 1)  3 Co 2.42, 3 Rh 2.66
3 Rh 0.3333 0.6667 0.4749 (multiplicity 1)  3 Te 2.66, 6 Co 2.84-2.94

=====

This record from Alexandria describes a relaxed structure of CoTeRh. The functional is GGA-PBE.

DOS(E_F) ... 0.968 states/eV/atom
Formation energy from raw total energies ... 0.201 eV/atom
DFT total energy ... -5.67 eV/atom

a b c (Å): 3.8717 3.8717 8.4230
angles (deg): 90.00 90.00 120.00
Closest atoms and distances in Å follow each position.
Space group P-6m2 (No. 187)
Asymmetric unit:
1 Co 0.0000 0.0000 0.0000 (multiplicity 1)  6 Rh 2.59, 2 Te 2.68
2 Co 0.3333 0.6667 0.5000 (multiplicity 1)  6 Te 2.71, 2 Rh 2.89
3 Te 0.0000 0.0000 0.3179 (multiplicity 2)  3 Rh 2.62, 4 Co 2.68-2.71
4 Rh 0.3333 0.6667 0.1564 (multiplicity 2)  4 Co 2.59-2.89, 3 Te 2.62, 1 Rh 2.63

=====

This record from Alexandria describes a relaxed structure of CoTe4Rh2. The functional is GGA-PBE.

DOS(E_F) ... 0.580 states/eV/atom
Formation energy from raw total energies ... -0.301 eV/atom
DFT total energy ... -5.21 eV/atom

a b c (Å): 12.7154 4.0176 6.9266
angles (deg): 90.00 121.52 90.00
Closest atoms and distances in Å follow each position.
Space group C2/m (No. 12)
Asymmetric unit:
1 Co 0.0000 0.0000 0.0000 (multiplicity 2)  6 Te 2.66, 2 Rh 2.82
2 Te 0.1181 0.0000 0.4500 (multiplicity 4)  3 Rh 2.65, 1 Co 2.66
3 Te 0.1273 0.5000 0.9697 (multiplicity 4)  2 Co 2.66, 3 Rh 2.73-2.75
4 Rh 0.2403 0.5000 0.7266 (multiplicity 4)  6 Te 2.65-2.75, 1 Co 2.82